## Fe3SnO (PBE+U)

Data for Fe3SnO after structural relaxation.

M_tot   8.00 Bohr magnetons per cell
E   -13.317 eV per cell
Space group   Pm-3m, No. 221
N(E_F)   19.47 states/eV/f.u.

Cell and atoms, written as extended XYZ:
```
5
Lattice="-4.386 1.291 -4.219 1.744 -4.958 -3.330 -4.053 -3.530 3.133" Properties=species:S:1:pos:R:3 pbc="T T T"
Sn -3.348 -3.598 -2.208
O 0.000 0.000 0.000
Fe 0.872 -2.479 -1.665
Fe -2.027 -1.765 1.567
Fe -2.193 0.646 -2.110
```